A plane-wave DFT calculation with PBE+U was carried out for an optimized crystal structure of YVPb2O6.

DFT total energy in eV per atom: -7.068

abc: 5.930 5.793 8.124
angles: 90.00 92.46 90.00
Atoms (fractional coordinates):
Y 0.500 0.000 0.000
Y 0.000 0.500 0.500
V 0.500 0.000 0.500
V 0.000 0.500 0.000
Pb 0.027 0.999 0.244
Pb 0.527 0.501 0.744
Pb 0.973 0.001 0.756
Pb 0.473 0.499 0.256
O 0.228 0.735 0.047
O 0.728 0.765 0.547
O 0.772 0.265 0.953
O 0.272 0.235 0.453
O 0.274 0.763 0.452
O 0.774 0.737 0.952
O 0.726 0.237 0.548
O 0.226 0.263 0.048
O 0.930 0.501 0.224
O 0.430 0.999 0.724
O 0.070 0.499 0.776
O 0.570 0.001 0.276